# Er3U2Tc4 (GGA-PBE, relaxed)
# * density: 11.75 g/cm³
# * E_tot: -8.83 eV per atom
# * crystal system: triclinic
# * N(E_F): 6.48 states/eV/f.u.
data_Er3U2Tc4
_cell_length_a 3.325
_cell_length_b 7.219
_cell_length_c 8.201
_cell_angle_alpha 95.21
_cell_angle_beta 92.65
_cell_angle_gamma 98.60
_symmetry_space_group_name_H-M 'P -1'
_symmetry_Int_Tables_number 2
loop_
_symmetry_equiv_pos_as_xyz
'x,y,z'
'-x,-y,-z'
loop_
_atom_site_label
_atom_site_type_symbol
_atom_site_fract_x
_atom_site_fract_y
_atom_site_fract_z
Er1 Er 0.000 0.000 0.000
Er2 Er 0.099 0.228 0.411
U1 U 0.032 0.610 0.206
Tc1 Tc 0.444 0.659 0.895
Tc2 Tc 0.474 0.891 0.296

# Er2UTc2 (GGA-PBE, relaxed)
# * density: 11.43 g/cm³
# * E_tot: -8.47 eV per atom
# * crystal system: monoclinic
# * N(E_F): 3.05 states/eV/f.u.
data_Er2UTc2
_cell_length_a 9.867
_cell_length_b 5.858
_cell_length_c 7.860
_cell_angle_alpha 90.00
_cell_angle_beta 100.43
_cell_angle_gamma 90.00
_symmetry_space_group_name_H-M 'C 1 2/c 1'
_symmetry_Int_Tables_number 15
loop_
_symmetry_equiv_pos_as_xyz
'x,y,z'
'-x,-y,-z'
'-x,y,-z+1/2'
'x,-y,z+1/2'
'x+1/2,y+1/2,z'
'-x+1/2,-y+1/2,-z'
'-x+1/2,y+1/2,-z+1/2'
'x+1/2,-y+1/2,z+1/2'
loop_
_atom_site_label
_atom_site_type_symbol
_atom_site_fract_x
_atom_site_fract_y
_atom_site_fract_z
Er1 Er 0.151 0.126 0.150
U1 U 0.000 0.372 0.750
Tc1 Tc 0.126 0.372 0.512

# ErUTc4 (GGA-PBE, relaxed)
# * density: 12.13 g/cm³
# * E_tot: -9.55 eV per atom
# * crystal system: cubic
# * N(E_F): 13.92 states/eV/f.u.
data_ErUTc4
_cell_length_a 7.585
_cell_length_b 7.585
_cell_length_c 7.585
_cell_angle_alpha 90.00
_cell_angle_beta 90.00
_cell_angle_gamma 90.00
_symmetry_space_group_name_H-M 'F -4 3 m'
_symmetry_Int_Tables_number 216
_symmetry_space_group_name_Hall 'F -4 2 3'
loop_
_atom_site_label
_atom_site_type_symbol
_atom_site_fract_x
_atom_site_fract_y
_atom_site_fract_z
Er1 Er 0.000 0.000 0.000
U1 U 0.250 0.250 0.250
Tc1 Tc 0.125 0.125 0.625

# ErU2Tc2 (GGA-PBE, relaxed)
# * density: 13.62 g/cm³
# * E_tot: -9.67 eV per atom
# * crystal system: monoclinic
# * N(E_F): 7.91 states/eV/f.u.
data_ErU2Tc2
_cell_length_a 5.672
_cell_length_b 5.877
_cell_length_c 6.231
_cell_angle_alpha 90.00
_cell_angle_beta 99.81
_cell_angle_gamma 90.00
_symmetry_space_group_name_H-M 'P 1 21/m 1'
_symmetry_Int_Tables_number 11
loop_
_symmetry_equiv_pos_as_xyz
'x,y,z'
'-x,-y,-z'
'-x,y+1/2,-z'
'x,-y+1/2,z'
loop_
_atom_site_label
_atom_site_type_symbol
_atom_site_fract_x
_atom_site_fract_y
_atom_site_fract_z
Er1 Er 0.130 0.250 0.120
U1 U 0.332 0.024 0.644
Tc1 Tc 0.146 0.750 0.350
Tc2 Tc 0.405 0.750 0.008

# Er3UTc3 (GGA-PBE, relaxed)
# * density: 11.36 g/cm³
# * E_tot: -8.21 eV per atom
# * crystal system: trigonal
# * N(E_F): 5.71 states/eV/f.u.
data_Er3UTc3
_cell_length_a 9.3445
_cell_length_b 9.3445
_cell_length_c 5.9970
_cell_angle_alpha 90.00
_cell_angle_beta 90.00
_cell_angle_gamma 120.00
_symmetry_space_group_name_H-M 'R 3 m'
_symmetry_Int_Tables_number 160
_symmetry_space_group_name_Hall 'R 3 -2"'
loop_
_atom_site_label
_atom_site_type_symbol
_atom_site_fract_x
_atom_site_fract_y
_atom_site_fract_z
Er1 Er 0.1976 0.3951 0.0000
U1 U 0.0000 0.0000 0.8047
Tc1 Tc 0.1850 0.3700 0.5104

# ErV2Tc (GGA-PBE, relaxed)
# * density: 7.96 g/cm³
# * E_tot: -8.12 eV per atom
# * crystal system: trigonal
# * N(E_F): 3.42 states/eV/f.u.
data_ErV2Tc
_cell_length_a 4.2067
_cell_length_b 4.2067
_cell_length_c 14.9931
_cell_angle_alpha 90.00
_cell_angle_beta 90.00
_cell_angle_gamma 120.00
_symmetry_space_group_name_H-M 'R -3 m'
_symmetry_Int_Tables_number 166
_symmetry_space_group_name_Hall '-R 3 2"'
loop_
_atom_site_label
_atom_site_type_symbol
_atom_site_fract_x
_atom_site_fract_y
_atom_site_fract_z
Er1 Er 0.0000 0.0000 0.0000
V1 V 0.0000 0.0000 0.2017
Tc1 Tc 0.0000 0.0000 0.5000

# ErTcW (GGA-PBE, relaxed)
# * density: 13.37 g/cm³
# * E_tot: -9.24 eV per atom
# * crystal system: tetragonal
# * N(E_F): 2.05 states/eV/f.u.
data_ErTcW
_cell_length_a 3.217
_cell_length_b 3.217
_cell_length_c 10.781
_cell_angle_alpha 90.00
_cell_angle_beta 90.00
_cell_angle_gamma 90.00
_symmetry_space_group_name_H-M 'I 4 m m'
_symmetry_Int_Tables_number 107
_symmetry_space_group_name_Hall 'I 4 -2'
loop_
_atom_site_label
_atom_site_type_symbol
_atom_site_fract_x
_atom_site_fract_y
_atom_site_fract_z
Er1 Er 0.000 0.000 0.000
Tc1 Tc 0.000 0.000 0.683
W1 W 0.000 0.000 0.309

# Er3Tc8W (GGA-PBE, relaxed)
# * density: 11.54 g/cm³
# * E_tot: -9.17 eV per atom
# * crystal system: triclinic
# * N(E_F): 12.32 states/eV/f.u.
data_Er3Tc8W
_cell_length_a 5.300
_cell_length_b 5.306
_cell_length_c 8.973
_cell_angle_alpha 75.65
_cell_angle_beta 75.55
_cell_angle_gamma 61.12
_symmetry_space_group_name_H-M 'P 1'
_symmetry_Int_Tables_number 1
loop_
_symmetry_equiv_pos_as_xyz
'x,y,z'
loop_
_atom_site_label
_atom_site_type_symbol
_atom_site_fract_x
_atom_site_fract_y
_atom_site_fract_z
Er1 Er 0.000 0.000 0.000
Er2 Er 0.142 0.142 0.620
Er3 Er 0.624 0.624 0.126
Tc1 Tc 0.064 0.064 0.324
Tc2 Tc 0.069 0.561 0.316
Tc3 Tc 0.070 0.574 0.809
Tc4 Tc 0.312 0.312 0.056
Tc5 Tc 0.560 0.070 0.316
Tc6 Tc 0.568 0.567 0.781
Tc7 Tc 0.573 0.070 0.809
Tc8 Tc 0.823 0.823 0.561
W1 W 0.525 0.525 0.495

# ErTcW (GGA-PBE, relaxed)
# * density: 13.04 g/cm³
# * E_tot: -9.38 eV per atom
# * crystal system: orthorhombic
# * N(E_F): 2.48 states/eV/f.u.
data_ErTcW
_cell_length_a 5.461
_cell_length_b 5.500
_cell_length_c 7.616
_cell_angle_alpha 90.00
_cell_angle_beta 90.00
_cell_angle_gamma 90.00
_symmetry_space_group_name_H-M 'I m m a'
_symmetry_Int_Tables_number 74
_symmetry_space_group_name_Hall '-I 2b 2'
loop_
_atom_site_label
_atom_site_type_symbol
_atom_site_fract_x
_atom_site_fract_y
_atom_site_fract_z
Er1 Er 0.000 0.250 0.127
Tc1 Tc 0.000 0.000 0.500
W1 W 0.250 0.250 0.750

# ErTcW (GGA-PBE, relaxed)
# * density: 12.73 g/cm³
# * E_tot: -8.85 eV per atom
# * crystal system: orthorhombic
# * N(E_F): 3.49 states/eV/f.u.
data_ErTcW
_cell_length_a 5.515
_cell_length_b 8.508
_cell_length_c 9.989
_cell_angle_alpha 90.00
_cell_angle_beta 90.00
_cell_angle_gamma 90.00
_symmetry_space_group_name_H-M 'F m m m'
_symmetry_Int_Tables_number 69
_symmetry_space_group_name_Hall '-F 2 2'
loop_
_atom_site_label
_atom_site_type_symbol
_atom_site_fract_x
_atom_site_fract_y
_atom_site_fract_z
Er1 Er 0.000 0.171 0.000
Tc1 Tc 0.000 0.000 0.344
W1 W 0.250 0.250 0.250

# ErTc4W (GGA-PBE, relaxed)
# * density: 12.25 g/cm³
# * E_tot: -9.73 eV per atom
# * crystal system: cubic
# * N(E_F): 7.95 states/eV/f.u.
data_ErTc4W
_cell_length_a 7.387
_cell_length_b 7.387
_cell_length_c 7.387
_cell_angle_alpha 90.00
_cell_angle_beta 90.00
_cell_angle_gamma 90.00
_symmetry_space_group_name_H-M 'F -4 3 m'
_symmetry_Int_Tables_number 216
_symmetry_space_group_name_Hall 'F -4 2 3'
loop_
_atom_site_label
_atom_site_type_symbol
_atom_site_fract_x
_atom_site_fract_y
_atom_site_fract_z
Er1 Er 0.000 0.000 0.000
Tc1 Tc 0.125 0.125 0.375
W1 W 0.250 0.250 0.750

# Y3ErTc (GGA-PBE, relaxed)
# * density: 6.33 g/cm³
# * E_tot: -6.93 eV per atom
# * crystal system: monoclinic
# * N(E_F): 5.44 states/eV/f.u.
data_Y3ErTc
_cell_length_a 12.049
_cell_length_b 3.907
_cell_length_c 12.846
_cell_angle_alpha 90.00
_cell_angle_beta 112.70
_cell_angle_gamma 90.00
_symmetry_space_group_name_H-M 'C 1 m 1'
_symmetry_Int_Tables_number 8
loop_
_symmetry_equiv_pos_as_xyz
'x,y,z'
'x,-y,z'
'x+1/2,y+1/2,z'
'x+1/2,-y+1/2,z'
loop_
_atom_site_label
_atom_site_type_symbol
_atom_site_fract_x
_atom_site_fract_y
_atom_site_fract_z
Y1 Y 0.000 0.000 0.000
Y2 Y 0.024 0.000 0.377
Y3 Y 0.170 0.500 0.240
Y4 Y 0.195 0.500 0.614
Y5 Y 0.225 0.000 0.857
Y6 Y 0.343 0.000 0.139
Er1 Er 0.352 0.000 0.478
Er2 Er 0.471 0.000 0.757
Tc1 Tc 0.025 0.000 0.612
Tc2 Tc 0.167 0.500 0.002